Arrangement 1

Computed, not measured: an optimized crystal structure of SiP2Se at the PBE-GGA level of DFT.

The structure in CIF format:
```
data_SiP2Se
_space_group_name_H-M_alt 'P 1 2/m 1'
_space_group_IT_number 10
_space_group_name_Hall '-P 2y'
_cell_length_a 4.2771
_cell_length_b 3.5940
_cell_length_c 4.8459
_cell_angle_alpha 90.00
_cell_angle_beta 110.50
_cell_angle_gamma 90.00
loop_
_atom_site_label
_atom_site_fract_x
_atom_site_fract_y
_atom_site_fract_z
Si1 0.0000 0.0000 0.0000
P1 0.2585 0.5000 0.8117
Se1 0.5000 0.0000 0.5000
```

Results
Crystal system ... monoclinic
Density ... 4.02 g/cm³

Arrangement 2

Computed, not measured: an optimized crystal structure of SiP2Se at the PBE-GGA level of DFT.

The structure in CIF format:
```
data_SiP2Se
_space_group_name_H-M_alt 'P 4 m m'
_space_group_IT_number 99
_space_group_name_Hall 'P 4 -2'
_cell_length_a 3.1512
_cell_length_b 3.1512
_cell_length_c 8.2790
_cell_angle_alpha 90.00
_cell_angle_beta 90.00
_cell_angle_gamma 90.00
loop_
_atom_site_label
_atom_site_fract_x
_atom_site_fract_y
_atom_site_fract_z
Si1 0.0000 0.0000 0.0000
P1 0.0000 0.0000 0.4431
P2 0.5000 0.5000 0.3335
Se1 0.5000 0.5000 0.8463
```

Results
Crystal system ... tetragonal
Density ... 3.41 g/cm³

Which of them is the most stable, and which is the least stable? arrangement 1 and arrangement 2, in that order.

Arrangement 1

Computed, not measured: an optimized crystal structure of SrTe2P at the PBE-GGA level of DFT.

The structure in CIF format:
```
data_SrTe2P
_space_group_name_H-M_alt 'R -3 m'
_space_group_IT_number 166
_space_group_name_Hall '-R 3 2"'
_cell_length_a 5.1157
_cell_length_b 5.1157
_cell_length_c 15.7263
_cell_angle_alpha 90.00
_cell_angle_beta 90.00
_cell_angle_gamma 120.00
loop_
_atom_site_label
_atom_site_fract_x
_atom_site_fract_y
_atom_site_fract_z
Sr1 0.0000 0.0000 0.0000
Te1 0.0000 0.0000 0.2185
P1 0.0000 0.0000 0.5000
```

Results
Crystal system ... trigonal
Density ... 5.22 g/cm³

Arrangement 2

Computed, not measured: an optimized crystal structure of SrTe2P at the PBE-GGA level of DFT.

The structure in CIF format:
```
data_SrTe2P
_space_group_name_H-M_alt 'R -3 m'
_space_group_IT_number 166
_space_group_name_Hall '-R 3 2"'
_cell_length_a 5.1775
_cell_length_b 5.1775
_cell_length_c 24.4690
_cell_angle_alpha 90.00
_cell_angle_beta 90.00
_cell_angle_gamma 120.00
loop_
_atom_site_label
_atom_site_fract_x
_atom_site_fract_y
_atom_site_fract_z
Sr1 0.0000 0.0000 0.0000
Te1 0.0000 0.0000 0.3947
P1 0.0000 0.0000 0.5000
```

Results
Crystal system ... trigonal
Density ... 3.28 g/cm³

Which of them is the most stable, and which is the least stable? arrangement 1 and arrangement 2, in that order.

Arrangement 1

Computed, not measured: an optimized crystal structure of ZnNiBr2 at the PBE-GGA level of DFT.

The structure in CIF format:
```
data_ZnNiBr2
_space_group_name_H-M_alt 'P 1 m 1'
_space_group_IT_number 6
_space_group_name_Hall 'P -2y'
_cell_length_a 3.6539
_cell_length_b 3.5257
_cell_length_c 7.4783
_cell_angle_alpha 90.00
_cell_angle_beta 99.32
_cell_angle_gamma 90.00
loop_
_atom_site_label
_atom_site_fract_x
_atom_site_fract_y
_atom_site_fract_z
Zn1 0.0000 0.0000 0.0000
Ni1 0.5211 0.5000 0.0745
Br1 0.2681 0.5000 0.7695
Br2 0.6153 0.0000 0.3024
```

Results
Crystal system ... monoclinic
Density ... 4.96 g/cm³

Arrangement 2

Computed, not measured: an optimized crystal structure of ZnNiBr2 at the PBE-GGA level of DFT.

The structure in CIF format:
```
data_ZnNiBr2
_space_group_name_H-M_alt 'F m -3 m'
_space_group_IT_number 225
_space_group_name_Hall '-F 4 2 3'
_cell_length_a 6.7977
_cell_length_b 6.7977
_cell_length_c 6.7977
_cell_angle_alpha 90.00
_cell_angle_beta 90.00
_cell_angle_gamma 90.00
loop_
_atom_site_label
_atom_site_fract_x
_atom_site_fract_y
_atom_site_fract_z
Zn1 0.0000 0.0000 0.0000
Ni1 0.0000 0.0000 0.5000
Br1 0.2500 0.2500 0.2500
```

Results
Crystal system ... cubic
Density ... 6.00 g/cm³

Which of them is the most stable, and which is the least stable? arrangement 1 and arrangement 2, in that order.

Arrangement 1

Computed, not measured: an optimized crystal structure of ZrMo2 at the PBE-GGA level of DFT.

The structure in CIF format:
```
data_ZrMo2
_space_group_name_H-M_alt 'P 4/m m m'
_space_group_IT_number 123
_space_group_name_Hall '-P 4 2'
_cell_length_a 3.6148
_cell_length_b 3.6148
_cell_length_c 4.7580
_cell_angle_alpha 90.00
_cell_angle_beta 90.00
_cell_angle_gamma 90.00
loop_
_atom_site_label
_atom_site_fract_x
_atom_site_fract_y
_atom_site_fract_z
Zr1 0.0000 0.0000 0.0000
Mo1 0.0000 0.5000 0.5000
```

Results
Crystal system ... tetragonal
Density ... 7.56 g/cm³

Arrangement 2

Computed, not measured: an optimized crystal structure of ZrMo2 at the PBE-GGA level of DFT.

The structure in CIF format:
```
data_ZrMo2
_space_group_name_H-M_alt 'I 41/a m d'
_space_group_IT_number 141
_cell_length_a 3.4028
_cell_length_b 3.4028
_cell_length_c 19.9060
_cell_angle_alpha 90.00
_cell_angle_beta 90.00
_cell_angle_gamma 90.00
loop_
_space_group_symop_operation_xyz
'x,y,z'
'-x,-y,-z'
'-y+1/4,x+3/4,z+1/4'
'y+1/4,-x+3/4,-z+1/4'
'-x+1/2,-y,z+1/2'
'x+1/2,y,-z+1/2'
'y+1/4,-x+1/4,z+3/4'
'-y+1/4,x+1/4,-z+3/4'
'x,-y,-z'
'-x,y,z'
'-y+1/4,-x+1/4,-z+3/4'
'y+1/4,x+1/4,z+3/4'
'-x+1/2,y,-z+1/2'
'x+1/2,-y,z+1/2'
'y+1/4,x+3/4,-z+1/4'
'-y+1/4,-x+3/4,z+1/4'
'x+1/2,y+1/2,z+1/2'
'-x+1/2,-y+1/2,-z+1/2'
'-y+3/4,x+1/4,z+3/4'
'y+3/4,-x+1/4,-z+3/4'
'-x,-y+1/2,z'
'x,y+1/2,-z'
'y+3/4,-x+3/4,z+1/4'
'-y+3/4,x+3/4,-z+1/4'
'x+1/2,-y+1/2,-z+1/2'
'-x+1/2,y+1/2,z+1/2'
'-y+3/4,-x+3/4,-z+1/4'
'y+3/4,x+3/4,z+1/4'
'-x,y+1/2,-z'
'x,-y+1/2,z'
'y+3/4,x+1/4,-z+3/4'
'-y+3/4,-x+1/4,z+3/4'
loop_
_atom_site_label
_atom_site_fract_x
_atom_site_fract_y
_atom_site_fract_z
Zr1 0.0000 0.2500 0.3750
Mo1 0.0000 0.2500 0.7939
```

Results
Crystal system ... tetragonal
Density ... 8.16 g/cm³

Which of them is the most stable, and which is the least stable? arrangement 2 and arrangement 1, in that order.